First-principles (PBE) data for a relaxed NiAs2PBr crystal, as listed in Alexandria.

The formation energy (no corrections) is 16.533 kcal/mol of atoms. For the offset from the most stable computed form, the calculation gives 0.0 meV/atom. The value obtained for the density of states at the Fermi level is 5.4 states/eV/cell.

It has space group P4/mmm (No. 123), with a = 4.667 Å, b = 4.667 Å, c = 4.691 Å, α = 90.00°, β = 90.00° and γ = 90.00°. The distinct sites, in fractional coordinates, are Ni at (0.000, 0.000, 0.000), As at (0.000, 0.500, 0.000), P at (0.500, 0.500, 0.500) and Br at (0.000, 0.000, 0.500).



First-principles (PBE) data for a relaxed NiAs2PBr crystal, as listed in Alexandria.

The formation energy (no corrections) is 23.870 kcal/mol of atoms. For the offset from the most stable computed form, the calculation gives 318.2 meV/atom. The value obtained for the density of states at the Fermi level is 7.2 states/eV/cell.

It has space group P4/mmm (No. 123), with a = 4.753 Å, b = 4.753 Å, c = 4.955 Å, α = 90.00°, β = 90.00° and γ = 90.00°. The distinct sites, in fractional coordinates, are Ni at (0.000, 0.000, 0.000), As at (0.000, 0.500, 0.500), P at (0.500, 0.500, 0.500) and Br at (0.500, 0.500, 0.000).



First-principles (PBE) data for a relaxed NiAsP2Br crystal, as listed in Alexandria.

The formation energy (no corrections) is 15.416 kcal/mol of atoms. The value obtained for the density of states at the Fermi level is 4.5 states/eV/cell.

It has space group P4/mmm (No. 123), with a = 4.355 Å, b = 4.355 Å, c = 5.082 Å, α = 90.00°, β = 90.00° and γ = 90.00°. The distinct sites, in fractional coordinates, are Ni at (0.000, 0.000, 0.000), As at (0.500, 0.500, 0.500), P at (0.000, 0.500, 0.000) and Br at (0.000, 0.000, 0.500).



First-principles (PBE) data for a relaxed NiAsPBr2 crystal, as listed in Alexandria.

The formation energy (no corrections) is 20.818 kcal/mol of atoms. For the offset from the most stable computed form, the calculation gives 255.6 meV/atom. The value obtained for the density of states at the Fermi level is 7.3 states/eV/cell.

It has space group P4/mmm (No. 123), with a = 5.020 Å, b = 5.020 Å, c = 4.936 Å, α = 90.00°, β = 90.00° and γ = 90.00°. The distinct sites, in fractional coordinates, are Ni at (0.000, 0.000, 0.000), As at (0.500, 0.500, 0.000), P at (0.500, 0.500, 0.500) and Br at (0.000, 0.500, 0.500).



First-principles (PBE) data for a relaxed NiAsPBr2 crystal, as listed in Alexandria.

The formation energy (no corrections) is 14.925 kcal/mol of atoms. For the offset from the most stable computed form, the calculation gives 0.0 meV/atom. The value obtained for the density of states at the Fermi level is 3.2 states/eV/cell.

It has space group P4/mmm (No. 123), with a = 4.753 Å, b = 4.753 Å, c = 4.766 Å, α = 90.00°, β = 90.00° and γ = 90.00°. The distinct sites, in fractional coordinates, are Ni at (0.000, 0.000, 0.000), As at (0.000, 0.000, 0.500), P at (0.500, 0.500, 0.500) and Br at (0.000, 0.500, 0.000).



First-principles (PBE) data for a relaxed NiAs2PdBr crystal, as listed in Alexandria.

The formation energy (no corrections) is 20.138 kcal/mol of atoms. For the offset from the most stable computed form, the calculation gives 391.1 meV/atom. The value obtained for the density of states at the Fermi level is 7.1 states/eV/cell.

It has space group P4/mmm (No. 123), with a = 4.813 Å, b = 4.813 Å, c = 5.206 Å, α = 90.00°, β = 90.00° and γ = 90.00°. The distinct sites, in fractional coordinates, are Ni at (0.000, 0.000, 0.000), As at (0.000, 0.500, 0.500), Pd at (0.500, 0.500, 0.500) and Br at (0.500, 0.500, 0.000).



First-principles (PBE) data for a relaxed NiAs2PdBr crystal, as listed in Alexandria.

The formation energy (no corrections) is 11.120 kcal/mol of atoms. For the offset from the most stable computed form, the calculation gives 0.0 meV/atom. The value obtained for the density of states at the Fermi level is 2.5 states/eV/cell.

It has space group P4/mmm (No. 123), with a = 4.524 Å, b = 4.524 Å, c = 5.080 Å, α = 90.00°, β = 90.00° and γ = 90.00°. The distinct sites, in fractional coordinates, are Ni at (0.000, 0.000, 0.000), As at (0.000, 0.500, 0.000), Pd at (0.500, 0.500, 0.500) and Br at (0.000, 0.000, 0.500).



First-principles (PBE) data for a relaxed Pm6Ni2AsBr3 crystal, as listed in Alexandria.

The formation energy (no corrections) is -22.741 kcal/mol of atoms. The value obtained for the density of states at the Fermi level is 21.4 states/eV/cell.

It has space group C2/m (No. 12), with a = 7.213 Å, b = 12.422 Å, c = 7.802 Å, α = 90.00°, β = 107.98° and γ = 90.00°. The distinct sites, in fractional coordinates, are Pm at (0.214, 0.000, 0.199), Pm at (0.244, 0.324, 0.200), Ni at (0.000, 0.167, 0.000), As at (0.000, 0.500, 0.000), Br at (0.000, 0.000, 0.500) and Br at (0.000, 0.340, 0.500).



no.,mass density (kg/m³)
1,5192
2,4739
3,4746
4,4331
5,5003
6,5438
7,6305
8,6504